Computed, not measured: a relaxed RbNa3Tl3 crystal at the GGA-PBE level of DFT.

Calculated values
**Energy relative to the lowest polymorph listed for this composition**: 0 meV/atom
**Formation energy**: -4 kJ/mol of atoms
**Energy**: -1.76 eV per atom
**Density**: 4.76 g/cm3

POSCAR file:
```
RbNa3Tl3
1.0
4.461 2.575 7.774
-4.461 2.575 7.774
0.000 -5.151 7.774
Rb Na Tl
2 6 6
Cartesian
0.000 0.000 2.463
0.000 0.000 20.859
-1.837 -1.060 10.139
0.000 -2.121 13.183
-1.837 1.060 13.183
1.837 -1.060 10.139
0.000 2.121 10.139
1.837 1.060 13.183
0.000 -1.906 7.429
-1.651 0.953 7.429
-1.651 -0.953 15.892
1.651 0.953 7.429
1.651 -0.953 15.892
0.000 1.906 15.892
```



Computed, not measured: a relaxed Rb2Na2Tl crystal at the GGA-PBE level of DFT.

Calculated values
**Energy relative to the lowest polymorph listed for this composition**: 0 meV/atom
**Formation energy**: 0 kJ/mol of atoms
**Energy**: -1.39 eV per atom
**Density**: 2.61 g/cm3

POSCAR file:
```
Rb2Na2Tl
1.0
2.734 -10.580 0.000
2.734 10.580 0.000
0.000 0.000 9.277
Rb Na Tl
4 4 2
Cartesian
2.734 9.312 4.639
2.734 4.939 7.335
2.734 -4.939 2.696
2.734 -9.312 0.000
2.734 7.975 0.760
2.734 1.872 3.153
2.734 -1.872 7.792
2.734 -7.975 5.399
2.734 1.120 6.376
2.734 -1.120 1.738
```



Computed, not measured: a relaxed Rb8NaTl2 crystal at the GGA-PBE level of DFT.

Calculated values
**Formation energy**: 4 kJ/mol of atoms
**Energy**: -1.21 eV per atom
**Density**: 2.57 g/cm3

POSCAR file:
```
Rb8NaTl2
1.0
6.537 -7.735 0.000
6.537 7.735 0.000
-2.276 0.000 7.118
Rb Na Tl
8 1 2
Cartesian
3.354 2.413 2.580
6.537 3.987 0.000
1.601 0.000 5.829
3.354 -2.413 2.580
7.445 2.413 4.538
9.198 0.000 1.289
6.537 -3.987 0.000
7.445 -2.413 4.538
0.000 0.000 0.000
5.399 6.110 3.559
5.399 -6.110 3.559
```



Computed, not measured: a relaxed Rb5Na2Tl crystal at the GGA-PBE level of DFT.

Calculated values
**Formation energy**: 0 kJ/mol of atoms
**Energy**: -1.23 eV per atom
**Density**: 2.19 g/cm3

POSCAR file:
```
Rb5Na2Tl
1.0
2.527 -7.717 0.000
2.527 7.717 0.000
0.000 0.000 26.352
Rb Na Tl
10 4 2
Cartesian
2.527 7.538 19.764
2.527 5.596 14.444
2.527 5.596 25.084
2.527 1.446 16.278
2.527 1.446 23.250
2.527 -1.446 3.102
2.527 -1.446 10.074
2.527 -5.596 1.268
2.527 -5.596 11.908
2.527 -7.538 6.588
2.527 3.310 4.809
2.527 3.310 8.367
2.527 -3.310 17.985
2.527 -3.310 21.543
2.527 3.201 19.764
2.527 -3.201 6.588
```



Computed, not measured: a relaxed Rb2Na16Tl crystal at the GGA-PBE level of DFT.

Calculated values
**Formation energy**: 1 kJ/mol of atoms
**Energy**: -1.33 eV per atom
**Density**: 1.57 g/cm3

POSCAR file:
```
Rb2Na16Tl
1.0
6.191 3.574 5.908
-6.191 3.574 5.908
0.000 -7.149 5.908
Rb Na Tl
2 16 1
Cartesian
0.000 0.000 0.000
0.000 0.000 5.625
0.000 -3.731 3.226
-3.231 1.866 3.226
-3.235 -1.867 8.779
0.000 -3.532 8.432
-3.059 1.766 8.432
-1.752 -3.014 11.745
-3.486 -0.011 11.745
3.231 1.866 3.226
0.000 0.000 10.075
1.752 -3.014 11.745
-1.734 3.025 11.745
3.235 -1.868 8.779
0.000 3.735 8.779
3.059 1.766 8.432
3.486 -0.011 11.745
1.734 3.025 11.745
0.000 0.000 13.407
```



Computed, not measured: a relaxed RbNa2Tl crystal at the GGA-PBE level of DFT.

Calculated values
**Energy relative to the lowest polymorph listed for this composition**: 22 meV/atom
**Formation energy**: -2 kJ/mol of atoms
**Energy**: -1.52 eV per atom
**Density**: 3.36 g/cm3

POSCAR file:
```
RbNa2Tl
1.0
4.300 0.000 0.000
0.000 4.300 0.000
0.000 0.000 8.968
Rb Na Tl
1 2 1
Cartesian
0.000 0.000 0.000
2.150 2.150 2.897
2.150 2.150 6.071
0.000 0.000 4.484
```



Computed, not measured: a relaxed RbNa2Tl crystal at the GGA-PBE level of DFT.

Calculated values
**Energy relative to the lowest polymorph listed for this composition**: 132 meV/atom
**Formation energy**: 8 kJ/mol of atoms
**Energy**: -1.41 eV per atom
**Density**: 3.20 g/cm3

POSCAR file:
```
RbNa2Tl
1.0
-2.682 2.682 12.121
2.682 -2.682 12.121
2.682 2.682 -12.121
Rb Na Tl
2 4 2
Cartesian
0.000 0.000 0.000
0.000 2.682 6.060
1.341 -0.980 9.090
1.702 1.341 3.030
1.341 3.663 -3.030
0.980 1.341 15.151
2.682 0.000 6.060
0.000 0.000 12.121
```



Computed, not measured: a relaxed RbNa3Tl10 crystal at the GGA-PBE level of DFT.

Calculated values
**Formation energy**: 6 kJ/mol of atoms
**Energy**: -1.98 eV per atom
**Density**: 7.79 g/cm3

POSCAR file:
```
RbNa3Tl10
1.0
0.000 7.766 7.766
7.766 0.000 7.766
7.766 7.766 0.000
Rb Na Tl
2 6 20
Cartesian
3.883 3.883 3.883
11.649 11.649 11.649
7.766 7.766 3.589
7.766 3.589 7.766
11.943 7.766 7.766
3.589 7.766 7.766
7.766 11.943 7.766
7.766 7.766 11.943
1.844 1.844 1.844
5.922 5.922 1.844
5.922 1.844 5.922
7.766 5.040 5.040
10.492 7.766 5.040
10.492 5.040 7.766
13.687 9.610 9.610
5.040 7.766 5.040
7.766 10.492 5.040
5.040 5.040 7.766
10.492 10.492 7.766
7.766 5.040 10.492
10.492 7.766 10.492
1.844 5.922 5.922
5.040 10.492 7.766
5.040 7.766 10.492
7.766 10.492 10.492
9.610 13.687 9.610
9.610 9.610 13.687
13.687 13.687 13.687
```



Computed, not measured: a relaxed RbNa6Tl crystal at the GGA-PBE level of DFT.

Calculated values
**Energy relative to the lowest polymorph listed for this composition**: 0 meV/atom
**Formation energy**: 0 kJ/mol of atoms
**Energy**: -1.40 eV per atom
**Density**: 2.18 g/cm3

POSCAR file:
```
RbNa6Tl
1.0
2.870 1.657 11.412
-2.870 1.657 11.412
0.000 -3.314 11.412
Rb Na Tl
1 6 1
Cartesian
0.000 0.000 0.000
0.000 0.000 4.602
0.000 0.000 7.974
0.000 0.000 13.828
0.000 0.000 20.408
0.000 0.000 26.262
0.000 0.000 29.635
0.000 0.000 17.118
```



Computed, not measured: a relaxed RbNaTl14 crystal at the GGA-PBE level of DFT.

Calculated values
**Formation energy**: -2 kJ/mol of atoms
**Energy**: -2.23 eV per atom
**Density**: 9.83 g/cm3

POSCAR file:
```
RbNaTl14
1.0
7.914 0.000 0.000
0.000 7.914 0.000
0.000 0.000 8.010
Rb Na Tl
1 1 14
Cartesian
0.000 0.000 0.000
3.957 3.957 0.000
0.000 0.000 4.005
0.000 3.957 0.000
0.000 3.957 4.005
2.032 2.032 2.086
2.032 2.032 5.924
2.032 5.882 2.086
2.032 5.882 5.924
3.957 0.000 0.000
3.957 0.000 4.005
3.957 3.957 4.005
5.882 2.032 2.086
5.882 2.032 5.924
5.882 5.882 2.086
5.882 5.882 5.924
```



Computed, not measured: a relaxed RbNaTl crystal at the GGA-PBE level of DFT.

Calculated values
**Energy relative to the lowest polymorph listed for this composition**: 25 meV/atom
**Formation energy**: -2 kJ/mol of atoms
**Energy**: -1.57 eV per atom
**Density**: 3.65 g/cm3

POSCAR file:
```
RbNaTl
1.0
5.347 0.000 0.000
2.671 4.632 0.000
0.049 0.020 11.482
Rb Na Tl
2 2 2
Cartesian
1.365 0.782 1.906
6.703 3.870 9.575
4.031 2.326 7.280
4.037 2.326 4.201
1.360 0.782 6.334
6.708 3.871 5.147
```



Computed, not measured: a relaxed RbNa6Tl crystal at the GGA-PBE level of DFT.

Calculated values
**Energy relative to the lowest polymorph listed for this composition**: 39 meV/atom
**Formation energy**: 4 kJ/mol of atoms
**Energy**: -1.37 eV per atom
**Density**: 2.03 g/cm3

POSCAR file:
```
RbNa6Tl
1.0
5.542 0.000 0.000
0.000 5.542 0.000
0.000 0.000 11.408
Rb Na Tl
1 6 1
Cartesian
0.000 0.000 0.000
0.000 2.771 3.974
0.000 2.771 7.433
2.771 0.000 3.974
2.771 0.000 7.433
2.771 2.771 1.701
2.771 2.771 9.707
0.000 0.000 5.704
```



Computed, not measured: a relaxed Rb3Na2Tl4 crystal at the GGA-PBE level of DFT.

Calculated values
**Formation energy**: -6 kJ/mol of atoms
**Energy**: -1.73 eV per atom
**Density**: 4.69 g/cm3

POSCAR file:
```
Rb3Na2Tl4
1.0
5.665 0.000 0.000
2.756 6.883 0.000
0.092 3.369 10.161
Rb Na Tl
3 2 4
Cartesian
0.000 0.000 0.000
2.887 3.769 6.412
5.626 6.482 3.749
2.784 3.313 2.377
5.728 6.938 7.784
2.901 7.778 6.379
2.898 6.456 9.300
5.615 3.795 0.862
5.612 2.474 3.783
```



Computed, not measured: a relaxed RbNa5Tl6 crystal at the GGA-PBE level of DFT.

Calculated values
**Formation energy**: -6 kJ/mol of atoms
**Energy**: -1.87 eV per atom
**Density**: 6.37 g/cm3

POSCAR file:
```
RbNa5Tl6
1.0
2.389 -7.851 0.000
2.389 7.851 0.000
0.000 0.000 9.917
Rb Na Tl
1 5 6
Cartesian
0.000 0.000 0.000
0.000 0.000 4.959
2.389 2.762 0.000
2.389 2.622 4.959
2.389 -2.622 4.959
2.389 -2.762 0.000
2.389 5.129 2.574
2.389 5.129 7.343
2.389 0.000 2.764
2.389 0.000 7.153
2.389 -5.129 2.574
2.389 -5.129 7.343
```



Computed, not measured: a relaxed RbNaTl2 crystal at the GGA-PBE level of DFT.

Calculated values
**Energy relative to the lowest polymorph listed for this composition**: 0 meV/atom
**Formation energy**: -7 kJ/mol of atoms
**Energy**: -1.83 eV per atom
**Density**: 5.33 g/cm3

POSCAR file:
```
RbNaTl2
1.0
2.689 1.552 6.440
-2.689 1.552 6.440
0.000 -3.105 6.440
Rb Na Tl
1 1 2
Cartesian
0.000 0.000 0.000
0.000 0.000 3.822
0.000 0.000 9.506
0.000 0.000 15.258
```



Computed, not measured: a relaxed RbNa2Tl crystal at the GGA-PBE level of DFT.

Calculated values
**Energy relative to the lowest polymorph listed for this composition**: 0 meV/atom
**Formation energy**: -4 kJ/mol of atoms
**Energy**: -1.54 eV per atom
**Density**: 3.38 g/cm3

POSCAR file:
```
RbNa2Tl
1.0
3.619 2.089 10.896
-3.619 2.089 10.896
0.000 -4.179 10.896
Rb Na Tl
3 6 3
Cartesian
0.000 0.000 0.000
0.000 0.000 4.733
0.000 0.000 27.954
-1.760 -1.016 13.453
0.000 -2.033 19.234
-1.760 1.016 19.234
1.760 -1.016 13.453
0.000 2.033 13.453
1.760 1.016 19.234
0.000 0.000 10.850
0.000 0.000 16.344
0.000 0.000 21.837
```



Computed, not measured: a relaxed Rb3Na7Tl2 crystal at the GGA-PBE level of DFT.

Calculated values
**Formation energy**: -3 kJ/mol of atoms
**Energy**: -1.44 eV per atom
**Density**: 2.56 g/cm3

POSCAR file:
```
Rb3Na7Tl2
1.0
3.671 2.119 11.473
-3.671 2.119 11.473
0.000 -4.239 11.473
Rb Na Tl
3 7 2
Cartesian
0.000 0.000 0.000
0.000 0.000 4.891
0.000 0.000 29.527
-1.831 -1.057 13.998
0.000 -2.115 20.420
-1.831 1.057 20.420
0.000 0.000 17.209
1.831 -1.057 13.998
0.000 2.115 13.998
1.831 1.057 20.420
0.000 0.000 11.467
0.000 0.000 22.951
```



Computed, not measured: a relaxed Rb2Na3Tl9 crystal at the GGA-PBE level of DFT.

Calculated values
**Formation energy**: -8 kJ/mol of atoms
**Energy**: -2.03 eV per atom
**Density**: 7.32 g/cm3

POSCAR file:
```
Rb2Na3Tl9
1.0
8.320 -5.038 0.000
8.320 5.038 0.000
0.000 0.000 11.252
Rb Na Tl
4 6 18
Cartesian
5.867 3.311 8.439
10.773 3.311 8.439
5.867 -3.311 2.813
10.773 -3.311 2.813
0.000 0.000 0.000
0.000 0.000 5.626
5.227 0.000 0.000
5.227 0.000 5.626
11.413 0.000 0.000
11.413 0.000 5.626
5.574 3.210 1.056
5.574 3.210 4.570
8.320 3.504 2.813
8.320 1.616 5.720
8.320 1.616 11.157
11.066 3.210 1.056
11.066 3.210 4.570
6.702 0.442 2.813
6.702 -0.442 8.439
9.938 0.442 2.813
9.938 -0.442 8.439
5.574 -3.210 6.681
5.574 -3.210 10.196
8.320 -1.616 0.094
8.320 -1.616 5.532
8.320 -3.504 8.439
11.066 -3.210 6.681
11.066 -3.210 10.196
```



Computed, not measured: a relaxed RbNa6Tl5 crystal at the GGA-PBE level of DFT.

Calculated values
**Formation energy**: -7 kJ/mol of atoms
**Energy**: -1.80 eV per atom
**Density**: 5.48 g/cm3

POSCAR file:
```
RbNa6Tl5
1.0
4.866 0.000 0.000
0.000 9.836 0.000
-2.332 0.000 7.888
Rb Na Tl
1 6 5
Cartesian
0.000 0.000 0.000
0.038 2.596 2.743
0.038 7.240 2.743
2.433 2.772 0.000
2.433 7.064 0.000
2.497 2.596 5.145
2.497 7.240 5.145
0.000 4.918 0.000
0.061 0.000 5.051
0.068 4.918 5.291
2.466 4.918 2.597
2.474 0.000 2.837
```



Computed, not measured: a relaxed RbNa2Tl crystal at the GGA-PBE level of DFT.

Calculated values
**Energy relative to the lowest polymorph listed for this composition**: 41 meV/atom
**Formation energy**: 0 kJ/mol of atoms
**Energy**: -1.50 eV per atom
**Density**: 3.11 g/cm3

POSCAR file:
```
RbNa2Tl
1.0
2.817 1.627 6.511
-2.817 1.627 6.511
0.000 -3.253 6.511
Rb Na Tl
1 2 1
Cartesian
0.000 0.000 0.000
0.000 0.000 10.210
0.000 0.000 15.636
0.000 0.000 3.928
```